KRbAs | PBE-GGA | relaxed

The value obtained for the total energy is -2.409 eV/atom.

The structure belongs to space group F-43m (No. 216); the cell edges are 8.168, 8.168 and 8.168 Å and the angles 90.00°, 90.00° and 90.00°. Symmetry generates all atoms from K at (0.000, 0.000, 0.000), Rb at (0.000, 0.000, 0.500) and As at (0.250, 0.250, 0.750).